1.
# HSeCl2

A relaxed HSeCl2 crystal (PBE-GGA, Alexandria).

Calculated values
* symmetry: R-3m (166)
* DOS at the Fermi energy: 0.71 states/eV/atom

Unit cell a=7.9429 b=7.9429 c=7.9429 alpha=24.67 beta=24.67 gamma=24.67
Closest atoms and distances in Å follow each position.
Atoms (fractional coordinates):
H 0.0000 0.0000 0.0000  2 Cl 1.55
Se 0.5000 0.5000 0.5000  6 Cl 3.02
Cl 0.9327 0.9327 0.9327  1 H 1.55
Cl 0.0673 0.0673 0.0673  1 H 1.55

---

2.
# BaAgBr3

A relaxed BaAgBr3 crystal (PBE-GGA, Alexandria).

Calculated values
* symmetry: C2/m (12)
* DOS at the Fermi energy: 0.00 states/eV/atom
* raw formation energy: -1.432 eV/atom

Unit cell a=4.8564 b=8.8358 c=8.8354 alpha=68.78 beta=89.48 gamma=89.49
Closest atoms and distances in Å follow each position.
Atoms (fractional coordinates):
Ba 0.9870 0.1962 0.6352  8 Br 3.27-3.47
Ba 0.4976 0.7081 0.1471  8 Br 3.27-3.47
Ag 0.7427 0.6532 0.6902  4 Br 2.68-2.82
Ag 0.7419 0.2513 0.0917  4 Br 2.68-2.82
Br 0.4851 0.3477 0.7864  2 Ag 2.82
Br 0.9995 0.5567 0.9958  2 Ag 2.82
Br 0.4948 0.2900 0.3475  1 Ag 2.68
Br 0.4947 0.9085 0.7291  1 Ag 2.68
Br 0.9900 0.9958 0.0532  1 Ag 2.68
Br 0.9901 0.6143 0.4348  1 Ag 2.68

---

3.
# LiZrB2Au

A relaxed LiZrB2Au crystal (PBE-GGA, Alexandria).

Calculated values
* symmetry: P4/mmm (123)
* DOS at the Fermi energy: 0.79 states/eV/atom
* energy relative to the elements: 1.1632 eV per atom

Unit cell a=4.5069 b=5.4118 c=4.5069 alpha=90.00 beta=90.00 gamma=90.00
Closest atoms and distances in Å follow each position.
Atoms (fractional coordinates):
B 0.0000 0.0000 0.5000  2 Zr 2.25
B 0.5000 0.0000 0.0000  2 Zr 2.25
Au 0.0000 0.5000 0.0000  2 Zr 2.71
Zr 0.0000 0.0000 0.0000  4 B 2.25
Li 0.5000 0.5000 0.5000  4 Au 3.19, 8 B 3.52

---

4.
# Mg2ZrTiN4

A relaxed Mg2ZrTiN4 crystal (PBE-GGA, Alexandria).

Calculated values
* symmetry: P2/m (10)
* raw formation energy: -1.291 eV/atom

Unit cell a=3.1413 b=5.4263 c=5.4100 alpha=109.50 beta=90.00 gamma=90.00
Closest atoms and distances in Å follow each position.
Atoms (fractional coordinates):
Mg 0.5000 0.0000 0.5000  6 N 2.22-2.23
Mg 0.0000 0.5000 0.5000  6 N 2.29-2.30
Zr 0.5000 0.5000 0.0000  6 N 2.20-2.21
Ti 0.0000 0.0000 0.0000  6 N 2.13-2.14
N 0.5000 0.2341 0.2325  2 Ti 2.14, 1 Zr 2.21, 3 Mg 2.22-2.29
N 0.5000 0.7659 0.7675  2 Ti 2.14, 1 Zr 2.21, 3 Mg 2.22-2.29
N 0.0000 0.2434 0.7626  1 Ti 2.13, 2 Zr 2.20, 3 Mg 2.23-2.30
N 0.0000 0.7566 0.2374  1 Ti 2.13, 2 Zr 2.20, 3 Mg 2.23-2.30

---

5.
# Pr8Er2Sc3

A relaxed Pr8Er2Sc3 crystal (PBE-GGA, Alexandria).

Calculated values
* symmetry: C2/m (12)
* DOS at the Fermi energy: 1.41 states/eV/atom
* energy relative to the elements: 0.2359 eV per atom

Unit cell a=6.7046 b=9.0069 c=8.7563 alpha=120.95 beta=98.58 gamma=90.00
Closest atoms and distances in Å follow each position.
Atoms (fractional coordinates):
Pr 0.9039 0.5919 0.1837  4 Pr 3.24-3.60, 2 Sc 3.46
Pr 0.0961 0.4081 0.8163  4 Pr 3.24-3.60, 2 Sc 3.46
Pr 0.8242 0.1896 0.3792  2 Er 3.20-3.51, 3 Sc 3.27-3.57, 1 Pr 3.47
Pr 0.1758 0.8104 0.6208  2 Er 3.20-3.51, 3 Sc 3.27-3.57, 1 Pr 3.47
Pr 0.5637 0.5711 0.7764  2 Er 3.29-3.55, 3 Pr 3.30-3.61, 2 Sc 3.38-3.41
Pr 0.5637 0.2052 0.7764  2 Er 3.29-3.55, 3 Pr 3.30-3.61, 2 Sc 3.38-3.41
Pr 0.4363 0.7948 0.2236  2 Er 3.29-3.55, 3 Pr 3.30-3.61, 2 Sc 3.38-3.41
Pr 0.4363 0.4289 0.2236  2 Er 3.29-3.55, 3 Pr 3.30-3.61, 2 Sc 3.38-3.41
Er 0.3024 0.1931 0.3863  6 Pr 3.20-3.55, 3 Sc 3.39-3.54
Er 0.6976 0.8069 0.6137  6 Pr 3.20-3.55, 3 Sc 3.39-3.54
Sc 0.5000 0.0000 0.0000  6 Pr 3.27-3.38, 2 Er 3.39, 4 Sc 3.65
Sc 0.0000 0.1603 0.0000  1 Sc 2.89
Sc 0.0000 0.8397 0.0000  1 Sc 2.89

---

6.
# Sm2CdGa4Cu3

A relaxed Sm2CdGa4Cu3 crystal (PBE-GGA, Alexandria).

Calculated values
* symmetry: P-4m2 (115)
* DOS at the Fermi energy: 0.56 states/eV/atom
* energy relative to the elements: -0.4155 eV per atom

Unit cell a=4.2069 b=4.2069 c=10.5929 alpha=90.00 beta=90.00 gamma=90.00
Closest atoms and distances in Å follow each position.
Atoms (fractional coordinates):
Sm 0.5000 0.0000 0.2386  8 Ga 3.19-3.29, 6 Cu 3.21-3.48, 2 Cd 3.48
Sm 0.0000 0.5000 0.7614  8 Ga 3.19-3.29, 6 Cu 3.21-3.48, 2 Cd 3.48
Cd 0.5000 0.5000 0.5000  4 Ga 2.65
Ga 0.5000 0.5000 0.0000  4 Cu 2.48
Ga 0.0000 0.0000 0.0000  4 Cu 2.48
Ga 0.5000 0.0000 0.6515  3 Cu 2.38-2.65, 2 Cd 2.65
Ga 0.0000 0.5000 0.3485  3 Cu 2.38-2.65, 2 Cd 2.65
Cu 0.0000 0.0000 0.5000  4 Ga 2.65
Cu 0.5000 0.0000 0.8760  5 Ga 2.38-2.48
Cu 0.0000 0.5000 0.1240  5 Ga 2.38-2.48

---

7.
# PmTeS

A relaxed PmTeS crystal (PBE-GGA, Alexandria).

Calculated values
* symmetry: Immm (71)
* DOS at the Fermi energy: 0.16 states/eV/atom
* raw formation energy: -1.549 eV/atom

Unit cell a=7.8515 b=7.8515 c=7.8515 alpha=148.90 beta=136.95 gamma=54.05
Closest atoms and distances in Å follow each position.
Atoms (fractional coordinates):
Pm 0.6611 0.6611 0.0000  4 S 2.74-2.97
Pm 0.3389 0.3389 0.0000  4 S 2.74-2.97
Te 0.7527 0.0000 0.7527  2 Te 2.85-2.91
Te 0.2473 0.0000 0.2473  2 Te 2.85-2.91
S 0.7866 0.2866 0.5000  4 Pm 2.74-2.97
S 0.2134 0.7134 0.5000  4 Pm 2.74-2.97

---

8.
# AsBr2

A relaxed AsBr2 crystal (PBE-GGA, Alexandria).

Calculated values
* symmetry: C2/m (12)
* raw formation energy: -0.276 eV/atom

Unit cell a=7.9484 b=7.9484 c=8.0379 alpha=69.87 beta=69.87 gamma=27.41
Closest atoms and distances in Å follow each position.
Atoms (fractional coordinates):
As 0.9798 0.9798 0.1847  4 Br 2.67-2.68, 1 As 2.81
As 0.0202 0.0202 0.8153  4 Br 2.67-2.68, 1 As 2.81
Br 0.6016 0.6016 0.1915  2 As 2.68
Br 0.3485 0.3485 0.2661  2 As 2.67
Br 0.6515 0.6515 0.7339  2 As 2.67
Br 0.3984 0.3984 0.8085  2 As 2.68

---

| no. | VASP energy (eV per cell) |
| --- | --- |
| 1 | -9.53 |
| 2 | -33.91 |
| 3 | -21.28 |
| 4 | -63.26 |
| 5 | -63.29 |
| 6 | -38.90 |
| 7 | -33.34 |
| 8 | -17.65 |